Entry from the Alexandria database: crystalline SrLi3Sb3 at its relaxed geometry (PBE-GGA).

## Properties
**Symmetry**: Pm-3n (223)
**Raw formation energy**: -141 kJ/mol of formula units
**Total magnetic moment**: 0.00 μB per cell

a = 7.3373 Å, b = 7.3373 Å, c = 7.3373 Å
α = 90.00°, β = 90.00°, γ = 90.00°
Element x y z (fractional)
Sb (0.2500, 0.0000, 0.5000)
Sb (0.0000, 0.5000, 0.2500)
Sb (0.5000, 0.7500, 0.0000)
Sb (0.7500, 0.0000, 0.5000)
Sb (0.0000, 0.5000, 0.7500)
Sb (0.5000, 0.2500, 0.0000)
Li (0.0000, 0.2500, 0.5000)
Li (0.0000, 0.7500, 0.5000)
Li (0.5000, 0.0000, 0.7500)
Li (0.7500, 0.5000, 0.0000)
Li (0.5000, 0.0000, 0.2500)
Li (0.2500, 0.5000, 0.0000)
Sr (0.5000, 0.5000, 0.5000)
Sr (0.0000, 0.0000, 0.0000)